# 1
A plane-wave DFT calculation with PBE was carried out for a relaxed structure of KY2Cd.

The space group is F-43m (No. 216) and the conventional cell measures 8.077, 8.077 and 8.077 Å, with angles of 90.00, 90.00 and 90.00 degrees. Symmetry generates all atoms from K at (0.000, 0.000, 0.000), Y at (0.000, 0.000, 0.500), Y at (0.250, 0.250, 0.250) and Cd at (0.250, 0.250, 0.750).

Its formation energy is 405 meV/atom. Its density of states at the Fermi level is 1.367 states/eV/atom.

# 2
A plane-wave DFT calculation with PBE was carried out for a relaxed structure of CdIrCl2O.

The space group is P4/mmm (No. 123) and the conventional cell measures 5.249, 5.249 and 4.027 Å, with angles of 90.00, 90.00 and 90.00 degrees. Symmetry generates all atoms from Cd at (0.000, 0.000, 0.000), Ir at (0.500, 0.500, 0.500), Cl at (0.000, 0.500, 0.000) and O at (0.000, 0.000, 0.500).

Its density of states at the Fermi level is 1.660 states/eV/atom. Its uncorrected formation energy is 0.804 eV per atom.

# 3
A plane-wave DFT calculation with PBE was carried out for a relaxed structure of Rb2In2Bi2Te.

The space group is P-1 (No. 2) and the conventional cell measures 4.494, 7.433 and 8.917 Å, with angles of 105.04, 90.10 and 107.49 degrees. Symmetry generates all atoms from Rb at (0.005, 0.006, 0.297), In at (0.286, 0.569, 0.881), Bi at (0.285, 0.571, 0.402) and Te at (0.500, 0.000, 0.000).

Its density of states at the Fermi level is 0.409 states/eV/atom. Its uncorrected formation energy is -0.310 eV per atom.

# 4
A plane-wave DFT calculation with PBE was carried out for a relaxed structure of InP.

The space group is P-3m1 (No. 164) and the conventional cell measures 4.3170, 4.3170 and 6.5138 Å, with angles of 90.00, 90.00 and 120.00 degrees. Symmetry generates all atoms from In at (0.3333, 0.6667, 0.3205) and P at (0.3333, 0.6667, 0.7679).

Its formation energy is 33 meV/atom. Its density of states at the Fermi level is 0.029 states/eV/atom.

# 5
A plane-wave DFT calculation with PBE was carried out for a relaxed structure of CsSr2Cd2.

The space group is P4/mmm (No. 123) and the conventional cell measures 6.405, 6.405 and 6.807 Å, with angles of 90.00, 90.00 and 90.00 degrees. Symmetry generates all atoms from Cs at (0.000, 0.000, 0.000), Sr at (0.000, 0.000, 0.500), Sr at (0.500, 0.500, 0.500) and Cd at (0.000, 0.500, 0.000).

Its formation energy is 561 meV/atom. Its density of states at the Fermi level is 0.864 states/eV/atom. For the distance to the lowest polymorph of the same formula, the calculation gives 0.669 eV per atom.

# 6
A plane-wave DFT calculation with PBE was carried out for a relaxed structure of TaFe3Ni.

The space group is Pm-3m (No. 221) and the conventional cell measures 4.474, 4.474 and 4.474 Å, with angles of 90.00, 90.00 and 90.00 degrees. Symmetry generates all atoms from Ta at (0.000, 0.000, 0.000), Fe at (0.000, 0.000, 0.500) and Ni at (0.500, 0.500, 0.500).

Its formation energy is 1701 meV/atom. Its density of states at the Fermi level is 1.534 states/eV/atom. For the distance to the lowest polymorph of the same formula, the calculation gives 0.728 eV per atom.

# 7
A plane-wave DFT calculation with PBE was carried out for a relaxed structure of MnTcCl2.

The space group is F-43m (No. 216) and the conventional cell measures 6.601, 6.601 and 6.601 Å, with angles of 90.00, 90.00 and 90.00 degrees. Symmetry generates all atoms from Mn at (0.000, 0.000, 0.000), Tc at (0.250, 0.250, 0.750), Cl at (0.000, 0.000, 0.500) and Cl at (0.250, 0.250, 0.250).

Its density of states at the Fermi level is 1.054 states/eV/atom. For the distance to the lowest polymorph of the same formula, the calculation gives 0.917 eV per atom. Its uncorrected formation energy is 0.720 eV per atom.

# 8
A plane-wave DFT calculation with PBE was carried out for a relaxed structure of CrSeBr2.

The space group is P4mm (No. 99) and the conventional cell measures 3.169, 3.169 and 10.236 Å, with angles of 90.00, 90.00 and 90.00 degrees. Symmetry generates all atoms from Cr at (0.000, 0.000, 0.000), Se at (0.500, 0.500, 0.133), Br at (0.000, 0.000, 0.458) and Br at (0.500, 0.500, 0.825).

Its density of states at the Fermi level is 0.516 states/eV/atom. For the distance to the lowest polymorph of the same formula, the calculation gives 0.372 eV per atom. Its uncorrected formation energy is -0.041 eV per atom.

# 9
A plane-wave DFT calculation with PBE was carried out for a relaxed structure of YAlCuCl2.

The space group is P4/mmm (No. 123) and the conventional cell measures 4.639, 4.639 and 5.802 Å, with angles of 90.00, 90.00 and 90.00 degrees. Symmetry generates all atoms from Y at (0.000, 0.000, 0.000), Al at (0.500, 0.500, 0.000), Cu at (0.000, 0.000, 0.500) and Cl at (0.000, 0.500, 0.500).

Its density of states at the Fermi level is 0.717 states/eV/atom. Its uncorrected formation energy is -0.051 eV per atom.

# 10
A plane-wave DFT calculation with PBE was carried out for a relaxed structure of NdAgRh2.

The space group is P4/mmm (No. 123) and the conventional cell measures 4.284, 4.284 and 4.033 Å, with angles of 90.00, 90.00 and 90.00 degrees. Symmetry generates all atoms from Nd at (0.000, 0.000, 0.000), Ag at (0.500, 0.500, 0.000) and Rh at (0.000, 0.500, 0.500).

Its formation energy is -300 meV/atom. Its density of states at the Fermi level is 1.362 states/eV/atom.

# 11
A plane-wave DFT calculation with PBE was carried out for a relaxed structure of LaInHg2H.

The space group is P4/mmm (No. 123) and the conventional cell measures 5.040, 5.040 and 4.447 Å, with angles of 90.00, 90.00 and 90.00 degrees. Symmetry generates all atoms from La at (0.000, 0.000, 0.000), In at (0.500, 0.500, 0.000), Hg at (0.000, 0.500, 0.500) and H at (0.000, 0.000, 0.500).

Its density of states at the Fermi level is 0.255 states/eV/atom.

# 12
A plane-wave DFT calculation with PBE was carried out for a relaxed structure of SmHfS2.

The space group is R-3m (No. 166, hexagonal axes) and the conventional cell measures 3.8173, 3.8173 and 18.7460 Å, with angles of 90.00, 90.00 and 120.00 degrees. Symmetry generates all atoms from Sm at (0.0000, 0.0000, 0.0000), Hf at (0.0000, 0.0000, 0.5000) and S at (0.0000, 0.0000, 0.2409).

Its density of states at the Fermi level is 0.457 states/eV/atom. For the distance to the lowest polymorph of the same formula, the calculation gives 0.000 eV per atom. Its uncorrected formation energy is -1.574 eV per atom.

Number 1: magnetization 0.001 μB/cell, calculated total energy -3.33 eV per atom. Number 2: magnetization 3.082 μB/cell, calculated total energy -2.88 eV per atom. Number 3: magnetization 0.000 μB/cell, calculated total energy -2.93 eV per atom. Number 4: magnetization 0.000 μB/cell, calculated total energy -4.04 eV per atom. Number 5: magnetization 0.000 μB/cell, calculated total energy -0.65 eV per atom. Number 6: magnetization 5.536 μB/cell, calculated total energy -6.90 eV per atom. Number 7: magnetization 1.944 μB/cell, calculated total energy -5.09 eV per atom. Number 8: magnetization 2.877 μB/cell, calculated total energy -4.15 eV per atom. Number 9: magnetization 0.771 μB/cell, calculated total energy -3.65 eV per atom. Number 10: magnetization 0.000 μB/cell, calculated total energy -5.88 eV per atom. Number 11: magnetization 0.000 μB/cell, calculated total energy -2.62 eV per atom. Number 12: magnetization 0.000 μB/cell, calculated total energy -7.31 eV per atom.